TlRe4Br PBE optimized geometry; density of states at the Fermi level = 1.049 states/eV per atom; formation energy (no corrections) = 1.312 eV/atom
1.0
0.0000 3.7943 3.7943
3.7943 0.0000 3.7943
3.7943 3.7943 0.0000
Re Br Tl
4 1 1
direct
0.3737 0.8790 0.3737 Re
0.8790 0.3737 0.3737 Re
0.3737 0.3737 0.8790 Re
0.3737 0.3737 0.3737 Re
0.0000 0.0000 0.0000 Br
0.7500 0.7500 0.7500 Tl


Ba2TeI PBE optimized geometry; density of states at the Fermi level = 0.759 states/eV per atom; offset from the most stable computed form = 130 meV per atom; formation energy (no corrections) = -1.448 eV/atom
1.0
4.2747 0.0000 0.0000
0.0000 4.2747 0.0000
0.0000 0.0000 8.5376
Te I Ba
1 1 2
direct
0.5000 0.5000 0.0000 Te
0.5000 0.5000 0.5000 I
0.0000 0.0000 0.7686 Ba
0.0000 0.0000 0.2314 Ba


Ce4SmPu PBE optimized geometry; density of states at the Fermi level = 3.290 states/eV per atom; calculated total energy = -41.2 eV/f.u.
1.0
-4.7300 -1.1897 -3.8122
-5.1805 -2.5736 2.2047
-5.1972 3.3416 0.3795
Ce Sm Pu
4 1 1
direct
0.6237 0.1289 0.6237 Ce
0.6237 0.6237 0.1289 Ce
0.6237 0.6237 0.6237 Ce
0.1289 0.6237 0.6237 Ce
0.2500 0.2500 0.2500 Sm
0.0000 0.0000 0.0000 Pu


Pm2Pr2Sb3 PBE optimized geometry; density of states at the Fermi level = 1.011 states/eV per atom; formation energy (no corrections) = -1.062 eV/atom
1.0
7.7693 0.0000 -2.7469
-3.8847 6.7284 -2.7469
0.0000 0.0000 8.2406
Pr Pm Sb
4 4 6
direct
0.5000 0.3565 0.5000 Pr
0.8565 0.5000 0.0000 Pr
0.0000 0.0000 0.3565 Pr
0.6435 0.1435 0.1435 Pr
0.5000 0.8609 0.5000 Pm
0.0000 0.0000 0.8609 Pm
0.1391 0.6391 0.6391 Pm
0.3609 0.5000 0.0000 Pm
0.7500 0.6283 0.3783 Sb
0.3717 0.1217 0.7500 Sb
0.1283 0.3783 0.2500 Sb
0.8783 0.2500 0.6283 Sb
0.6217 0.7500 0.8717 Sb
0.2500 0.8717 0.1217 Sb


Ho4SbTe PBE optimized geometry; density of states at the Fermi level = 1.073 states/eV per atom; formation energy (no corrections) = -0.587 eV/atom
1.0
-4.0045 -5.8315 2.1451
5.7281 -4.4532 -1.4133
1.6759 6.0839 6.9313
Ho Te Sb
8 2 2
direct
0.1793 0.1792 0.1742 Ho
0.4948 0.4947 0.1741 Ho
0.0051 0.3208 0.8258 Ho
0.5052 0.5053 0.8259 Ho
0.6793 0.9947 0.1741 Ho
0.3207 0.0053 0.8259 Ho
0.9949 0.6792 0.1742 Ho
0.8207 0.8208 0.8258 Ho
0.5000 0.5000 0.5000 Te
0.0000 0.0000 0.5000 Te
0.2501 0.7500 0.0000 Sb
0.7499 0.2500 0.0000 Sb


B2C PBE optimized geometry; density of states at the Fermi level = 0.115 states/eV per atom; offset from the most stable computed form = 181 meV per atom
1.0
-2.3120 1.3408 0.0531
0.0880 0.3490 -4.9787
-3.0178 -5.2480 1.1230
B C
8 4
direct
0.0000 0.0643 0.1503 B
0.5000 0.8253 0.1664 B
0.0000 0.6786 0.4777 B
0.5000 0.1747 0.8336 B
0.0000 0.3214 0.5223 B
0.0000 0.9357 0.8497 B
0.5000 0.4424 0.1204 B
0.5000 0.5576 0.8796 B
0.0000 0.6189 0.7475 C
0.5000 0.8499 0.4342 C
0.0000 0.3811 0.2525 C
0.5000 0.1501 0.5658 C


LaMg2Al PBE optimized geometry; density of states at the Fermi level = 0.355 states/eV per atom; calculated total energy = -12.7 eV/f.u.
1.0
5.1696 0.0104 -0.0280
-0.0182 5.1697 0.0033
-2.5733 -2.6097 3.6630
Mg Al La
2 1 1
direct
0.7503 0.2497 0.5000 Mg
0.0020 0.9980 0.0000 Mg
0.4977 0.5023 0.0000 Al
0.2500 0.7500 0.5000 La


Cs3AgSn2Br9 PBE optimized geometry; density of states at the Fermi level = 0.249 states/eV per atom; formation energy (no corrections) = -1.141 eV/atom
1.0
-2.7357 5.2877 5.4747
-4.4972 -1.8091 -6.4744
-4.2609 -7.4136 5.0312
Sn Br Cs Ag
2 9 3 1
direct
0.6667 0.3333 0.8221 Sn
0.3333 0.6667 0.1779 Sn
0.5000 0.0000 0.0000 Br
0.1659 0.3318 0.3363 Br
0.8341 0.1659 0.6637 Br
0.1659 0.8341 0.3363 Br
0.3318 0.1659 0.6637 Br
0.6682 0.8341 0.3363 Br
0.5000 0.5000 0.0000 Br
0.0000 0.5000 0.0000 Br
0.8341 0.6682 0.6637 Br
0.0000 0.0000 0.0000 Cs
0.6667 0.3333 0.3382 Cs
0.3333 0.6667 0.6618 Cs
0.0000 0.0000 0.5000 Ag


- Which value of density of states at the Fermi level does entry 8 give?
  0.249 states/eV per atom


- Look up the density of states at the Fermi level of the sixth one.
  0.115 states/eV per atom


Please write out number 2 again, unchanged.
Ba2TeI PBE optimized geometry; density of states at the Fermi level = 0.759 states/eV per atom; offset from the most stable computed form = 130 meV per atom; formation energy (no corrections) = -1.448 eV/atom
1.0
4.2747 0.0000 0.0000
0.0000 4.2747 0.0000
0.0000 0.0000 8.5376
Te I Ba
1 1 2
direct
0.5000 0.5000 0.0000 Te
0.5000 0.5000 0.5000 I
0.0000 0.0000 0.7686 Ba
0.0000 0.0000 0.2314 Ba


- Which formula does entry 7 have?
  LaMg2Al